--- one ---
Na3Tl4Pb (PBE, optimized geometry); D(E_F) = 0.45 states/eV per atom; space-group type = No. 12
1.0
3.875 0.000 0.000
0.000 5.154 -0.621
-1.937 -1.804 12.298
Na Tl Pb
3 4 1
Cartesian
0.000 2.577 -0.310
0.000 0.389 3.068
1.937 2.960 8.609
0.000 0.450 9.573
1.937 2.900 2.104
1.937 2.924 5.242
0.000 0.425 6.436
1.937 0.000 0.000



--- two ---
Na3Tl4Pb (PBE, optimized geometry); D(E_F) = 0.42 states/eV per atom; space-group type = No. 51
1.0
5.243 0.000 0.000
0.000 8.476 0.000
0.000 0.000 10.493
Pb Na Tl
2 6 8
Cartesian
0.000 4.238 0.000
0.000 4.238 5.247
0.000 0.000 0.000
0.000 0.000 5.247
2.628 0.000 7.870
2.615 0.000 2.623
2.630 4.238 7.870
2.614 4.238 2.623
2.622 6.351 0.000
2.622 6.351 5.247
2.622 2.125 0.000
2.622 2.125 5.247
0.007 6.350 7.870
5.237 6.350 2.623
5.237 2.126 2.623
0.007 2.126 7.870



Most stable structure: two



--- one ---
NaTlPb3 (PBE, optimized geometry); D(E_F) = 0.55 states/eV per atom; space-group type = No. 221
1.0
-5.717 1.287 -0.989
-1.615 -4.881 2.981
-0.167 3.137 5.045
Pb Na Tl
3 1 1
Cartesian
-0.808 -2.440 1.491
-0.083 1.568 2.523
-2.858 0.644 -0.495
-3.749 -0.228 3.518
0.000 0.000 0.000



--- two ---
NaTlPb3 (PBE, optimized geometry); D(E_F) = 0.37 states/eV per atom; space-group type = No. 11
1.0
5.078 0.000 0.000
0.000 7.475 -0.174
0.000 -0.153 7.989
Na Tl Pb
2 2 6
Cartesian
3.809 1.792 5.955
1.270 5.530 1.860
1.270 3.983 6.696
3.809 3.339 1.118
3.809 0.309 2.824
1.270 7.014 4.991
1.270 1.071 0.341
3.809 4.807 4.314
1.270 2.515 3.501
3.809 6.251 7.474



Most stable structure: two



--- one ---
NaTlPb3 (PBE, optimized geometry); D(E_F) = 0.64 states/eV per atom; space-group type = No. 221
1.0
5.603 0.000 0.000
0.000 5.603 0.000
0.000 0.000 5.603
Pb Na Tl
3 1 1
Cartesian
0.000 2.802 0.000
0.000 0.000 2.802
2.802 0.000 0.000
0.000 0.000 0.000
2.802 2.802 2.802



--- two ---
NaTlPb3 (PBE, optimized geometry); D(E_F) = 0.46 states/eV per atom; space-group type = No. 11
1.0
5.713 -0.595 0.000
-2.013 8.171 0.000
0.000 0.000 6.914
Na Tl Pb
2 2 6
Cartesian
1.659 2.086 1.729
2.042 5.489 5.186
4.685 3.502 1.729
-0.984 4.074 5.186
-0.689 7.093 3.437
4.390 0.483 3.477
-0.689 7.093 0.020
4.390 0.483 6.895
2.033 5.747 1.729
1.667 1.829 5.186



Most stable structure: two



--- one ---
NaTl5Pb2 (PBE, optimized geometry); D(E_F) = 0.43 states/eV per atom; space-group type = No. 63
1.0
5.739 0.000 0.000
-2.869 6.174 0.000
0.000 0.000 14.032
Na Tl Pb
2 10 4
Cartesian
2.869 2.384 10.524
0.000 3.790 3.508
2.869 5.053 12.505
2.869 5.053 8.543
0.000 4.603 6.724
0.000 4.603 0.292
2.869 0.945 3.508
0.000 5.228 10.524
2.869 1.571 7.308
2.869 1.571 13.740
0.000 1.121 1.527
0.000 1.121 5.489
2.869 4.030 5.153
2.869 4.030 1.863
0.000 2.144 8.879
0.000 2.144 12.169



--- two ---
NaTl5Pb2 (PBE, optimized geometry); D(E_F) = 0.35 states/eV per atom; space-group type = No. 139
1.0
4.872 0.000 -1.339
-0.368 4.858 -1.339
0.158 0.170 10.107
Na Tl Pb
1 5 2
Cartesian
0.000 0.000 0.000
2.252 2.429 -1.339
4.247 1.953 5.916
1.626 4.382 5.916
0.416 3.076 1.512
3.036 0.647 1.512
3.483 3.757 3.139
1.179 1.272 4.289



Most stable structure: two



--- one ---
Na12Tl2Pb5 (PBE, optimized geometry); D(E_F) = 0.44 states/eV per atom; space-group type = No. 12
1.0
9.513 0.000 0.000
-4.757 7.275 1.086
0.000 -1.385 8.064
Na Tl Pb
12 2 5
Cartesian
4.757 5.810 1.904
-3.007 3.979 6.792
3.007 3.979 6.792
-2.009 4.939 3.595
2.009 4.939 3.595
0.000 5.633 6.499
4.757 0.257 2.651
6.765 0.950 5.555
2.748 0.950 5.555
7.763 1.910 2.359
1.750 1.910 2.359
0.000 0.080 7.247
6.566 0.000 0.000
2.948 0.000 0.000
0.000 2.752 5.272
0.000 3.152 8.658
0.000 -0.693 4.032
4.757 2.738 0.492
4.757 3.138 3.878



--- two ---
Na12Tl2Pb5 (PBE, optimized geometry); D(E_F) = 0.43 states/eV per atom; space-group type = No. 12
1.0
-4.169 2.387 3.477
-6.625 -6.851 -3.239
6.907 -3.174 8.228
Na Tl Pb
12 2 5
Cartesian
0.352 -0.955 1.299
-5.730 -6.382 4.089
-3.404 -3.977 5.226
3.183 -2.299 7.359
-0.632 -6.244 5.494
0.471 -4.071 7.648
-4.358 -3.567 0.819
-7.070 -5.339 1.108
-3.255 -1.394 2.973
1.843 -1.256 4.378
-0.483 -3.661 3.241
-4.239 -6.683 7.168
-4.663 -4.823 -2.280
-1.962 -2.029 -0.959
-1.375 -1.337 5.641
2.329 -4.693 5.163
-2.084 1.194 1.739
-6.216 -2.945 3.304
-2.512 -6.301 2.826



Most stable structure: one



--- one ---
NaTl3Pb (PBE, optimized geometry); D(E_F) = 0.47 states/eV per atom; space-group type = No. 221
1.0
-4.219 -0.851 -3.534
-1.003 -4.931 2.385
-3.493 2.443 3.583
Pb Na Tl
1 1 3
Cartesian
-4.358 -1.669 1.217
0.000 0.000 0.000
-0.502 -2.466 1.192
-1.747 1.222 1.791
-2.109 -0.425 -1.767



--- two ---
NaTl3Pb (PBE, optimized geometry); D(E_F) = 0.27 states/eV per atom; space-group type = No. 148
1.0
-4.968 5.827 -4.142
-8.577 1.445 -0.379
-5.154 6.505 2.631
Na Tl Pb
2 6 2
Cartesian
-3.092 2.278 -0.313
-15.607 11.499 -1.578
-4.688 4.765 1.068
-4.589 4.447 -2.235
-6.352 2.304 -0.413
-14.010 9.011 -2.958
-12.346 11.473 -1.477
-14.109 9.330 0.345
-7.946 5.855 -0.803
-10.752 7.922 -1.087



--- three ---
NaTl3Pb (PBE, optimized geometry); D(E_F) = 0.31 states/eV per atom; space-group type = No. 11
1.0
5.674 0.000 0.000
0.000 5.960 1.803
0.000 -0.187 8.816
Na Tl Pb
2 6 2
Cartesian
4.255 5.511 9.420
1.418 0.263 1.199
4.255 2.113 1.287
1.418 3.660 9.332
1.418 1.320 6.811
4.255 4.454 3.808
4.255 3.195 6.982
1.418 2.578 3.637
1.418 4.924 6.147
4.255 0.850 4.472



Most stable structure: three